No. 1
Material: BaCr2P2
Method: DFT, GGA-PBE
State: relaxed

Structure (CIF):
```
data_BaCr2P2
_chemical_formula_sum 'Ba2 Cr4 P4'
_cell_length_a 8.029
_cell_length_b 8.029
_cell_length_c 3.083
_cell_angle_alpha 90.00
_cell_angle_beta 90.00
_cell_angle_gamma 90.00
_space_group_name_H-M_alt 'P 1'
_space_group_IT_number 1
loop_
_space_group_symop_operation_xyz
'x,y,z'
loop_
_atom_site_label
_atom_site_fract_x
_atom_site_fract_y
_atom_site_fract_z
Cr1 0.087 0.587 0.500
Cr2 0.587 0.913 0.500
Cr3 0.913 0.413 0.500
Cr4 0.413 0.087 0.500
Ba1 0.000 0.000 0.000
Ba2 0.500 0.500 0.000
P1 0.358 0.858 0.000
P2 0.858 0.642 0.000
P3 0.642 0.142 0.000
P4 0.142 0.358 0.000
```

Results
Energy of formation, eV per atom: 0.061
Calculated density, g/cm3: 5.07
D(E_F), states/eV/f.u.: 2.372
E_tot, eV per atom: -6.34
Total magnetization, μB per atom: 0.000
Crystal system: tetragonal
V, Å³/cell: 198.7

No. 2
Material: Dy2TeCl
Method: DFT, GGA-PBE
State: relaxed

Structure (CIF):
```
data_Dy2TeCl
_chemical_formula_sum 'Dy2 Te1 Cl1'
_cell_length_a 3.833
_cell_length_b 3.833
_cell_length_c 8.468
_cell_angle_alpha 76.92
_cell_angle_beta 76.92
_cell_angle_gamma 60.00
_space_group_name_H-M_alt 'P 1'
_space_group_IT_number 1
loop_
_space_group_symop_operation_xyz
'x,y,z'
loop_
_atom_site_label
_atom_site_fract_x
_atom_site_fract_y
_atom_site_fract_z
Dy1 0.085 0.085 0.745
Dy2 0.249 0.249 0.254
Te1 0.667 0.667 0.000
Cl1 0.500 0.500 0.500
```

Results
Calculated density, g/cm3: 7.79
D(E_F), states/eV/f.u.: 3.532
E_tot, eV per atom: -4.67
Total magnetization, μB per atom: 0.000
Crystal system: trigonal
Energy relative to the elements, uncorrected, eV per formula unit: -4.50
V, Å³/cell: 104.0